(1)
DFT (GGA-PBE) results for a relaxed Na2BeGeSe4 crystal.

Geometry as extended XYZ:
```
8
Lattice="-1.5680 -6.3891 -0.5623 0.9656 -0.8092 6.4813 -4.0787 4.6059 -2.1819" Properties=species:S:1:pos:R:3 pbc="T T T"
Na -3.7740 0.5743 3.9963
Na -2.0675 0.4752 0.3672
Be -5.0404 -2.2161 0.4745
Ge -2.3671 -3.1244 3.3262
Se -3.5433 -1.5127 1.9872
Se -1.7303 -4.8884 1.8241
Se -0.5899 -1.9149 4.3997
Se -3.0019 3.0169 -0.8247
```

Computed properties:
Spin magnetization in μB per cell: 0.0
Calculated total energy in eV per atom: -3.8768
Symmetry: I-4, No. 82

=====

(2)
DFT (GGA-PBE) results for a relaxed YReAg2 crystal.

Geometry as extended XYZ:
```
4
Lattice="-4.5491 -1.4133 1.5085 0.9336 -0.1200 2.7031 -1.0224 5.0902 1.6857" Properties=species:S:1:pos:R:3 pbc="T T T"
Ag 0.0368 0.0942 0.1993
Ag -0.0812 2.3909 1.9951
Re -2.2968 0.5359 1.8514
Y -2.3412 3.0209 4.0458
```

Computed properties:
Calculated formation energy in meV/atom: 429.4
Energy relative to the lowest polymorph listed for this composition in eV/atom: 0.0455
Spin magnetization in μB per cell: 0.0
Symmetry: P2/m, No. 10

=====

(3)
DFT (GGA-PBE) results for a relaxed Ba6PPt2Br2 crystal.

Geometry as extended XYZ:
```
11
Lattice="8.0785 0.0310 0.0911 -3.9659 7.0381 0.0911 -1.4537 -2.4987 7.8500" Properties=species:S:1:pos:R:3 pbc="T T T"
Ba 2.0034 3.4436 5.7068
Ba -2.0502 1.0604 5.6831
Ba 0.6555 1.1268 2.3253
Ba 1.9352 -1.2582 5.6831
Ba 4.7091 3.5099 2.3491
Ba 0.7237 5.8285 2.3491
P -0.7268 -1.2493 3.9250
Pt -0.7139 3.4739 4.0161
Pt 3.3728 1.0964 4.0161
Br 6.1190 1.1710 0.0911
Br -2.0064 5.8981 0.0911
```

Computed properties:
Spin magnetization in μB per cell: 0.0
Calculated total energy in eV per atom: -4.0867
Symmetry: C2/m, No. 12

=====

(4)
DFT (GGA-PBE) results for a relaxed V2CrPdN crystal.

Geometry as extended XYZ:
```
5
Lattice="3.9479 0.0000 0.0000 0.0000 3.9479 0.0000 0.0000 0.0000 3.8725" Properties=species:S:1:pos:R:3 pbc="T T T"
Cr 0.0000 0.0000 1.9362
N 0.0000 0.0000 0.0000
Pd 1.9739 1.9739 1.9362
V 0.0000 1.9739 0.0000
V 1.9739 0.0000 0.0000
```

Computed properties:
Spin magnetization in μB per cell: 0.3
Calculated total energy in eV per atom: -8.7677
Symmetry: P4/mmm, No. 123

=====

(5)
DFT (GGA-PBE) results for a relaxed SmTm8Tl6 crystal.

Geometry as extended XYZ:
```
15
Lattice="9.0003 0.0000 0.0000 4.5001 7.7945 0.0000 4.5001 2.5982 6.4898" Properties=species:S:1:pos:R:3 pbc="T T T"
Sm 0.0000 0.0000 0.0000
Tm 7.5081 2.5944 2.1396
Tm 10.5075 2.6032 4.3502
Tm 6.0009 5.1876 4.3502
Tm 13.5004 7.7945 6.4834
Tm 4.5001 2.5982 0.0063
Tm 11.9996 5.2050 2.1396
Tm 7.4930 7.7895 2.1396
Tm 10.4924 7.7982 4.3502
Tl 7.5434 2.5986 5.2142
Tl 10.5215 2.6358 1.2756
Tl 6.0222 5.1592 1.2756
Tl 11.9784 5.2335 5.2142
Tl 7.4790 7.7569 5.2142
Tl 10.4571 7.7940 1.2756
```

Computed properties:
Calculated formation energy in meV/atom: -109.3
Spin magnetization in μB per cell: 0.0
Symmetry: R-3, No. 148

=====

(6)
DFT (GGA-PBE) results for a relaxed CaCu3O3 crystal.

Geometry as extended XYZ:
```
14
Lattice="-2.6174 0.6345 5.0744 0.5832 -4.0262 4.0562 4.2482 1.7767 5.2210" Properties=species:S:1:pos:R:3 pbc="T T T"
Ca -0.6759 -1.1293 3.0445
Ca 2.8898 -0.4857 11.3071
Cu 2.4030 -2.0125 8.8194
Cu 0.6859 1.2934 8.2904
Cu 2.7807 -0.1993 5.5442
Cu -0.5667 -1.4157 8.8074
Cu 1.5281 -2.9084 6.0613
Cu -0.1891 0.3975 5.5322
O 0.6224 -1.5284 4.9930
O -1.1484 -0.1500 7.1587
O 0.2032 -2.8944 7.7652
O 2.0107 1.2794 6.5865
O 3.3624 -1.4650 7.1929
O 1.5915 -0.0865 9.3587
```

Computed properties:
Spin magnetization in μB per cell: 1.9
Calculated total energy in eV per atom: -5.1887
Symmetry: R-3, No. 148

=====

(7)
DFT (GGA-PBE) results for a relaxed Nd2Al2InPt5 crystal.

Geometry as extended XYZ:
```
20
Lattice="3.7408 0.0000 0.0000 0.0000 10.1232 0.0000 0.0000 0.0000 10.1232" Properties=species:S:1:pos:R:3 pbc="T T T"
Nd 0.0000 6.8888 1.8272
Nd 0.0000 3.2344 8.2960
Nd 0.0000 1.8272 3.2344
Nd 0.0000 8.2960 6.8888
Al 0.0000 1.1907 6.2523
Al 0.0000 8.9325 3.8709
Al 0.0000 6.2523 8.9325
Al 0.0000 3.8709 1.1907
In 0.0000 0.0000 0.0000
In 0.0000 5.0616 5.0616
Pt 1.8704 2.1880 0.6302
Pt 1.8704 7.9352 9.4930
Pt 1.8704 0.6302 7.9352
Pt 1.8704 7.2496 4.4314
Pt 1.8704 9.4930 2.1880
Pt 1.8704 2.8736 5.6918
Pt 1.8704 5.6918 7.2496
Pt 1.8704 4.4314 2.8736
Pt 1.8704 5.0616 0.0000
Pt 1.8704 0.0000 5.0616
```

Computed properties:
Calculated formation energy in meV/atom: -893.1
Spin magnetization in μB per cell: 0.0
Symmetry: P4/mbm, No. 127

=====

(8)
DFT (GGA-PBE) results for a relaxed Nd2BeGa3Ir4 crystal.

Geometry as extended XYZ:
```
10
Lattice="-0.8768 -3.6925 1.9307 -1.5454 -1.5440 -3.6549 9.1323 -3.4300 -2.4124" Properties=species:S:1:pos:R:3 pbc="T T T"
Nd 1.8084 -2.6901 0.3718
Nd 6.1128 -3.3581 -3.6463
Be 3.3550 -4.3332 -2.0683
Ga 4.5662 -1.7150 -1.2062
Ga 7.4906 -4.8243 -1.1292
Ga 0.4306 -1.2239 -2.1453
Ir -1.2111 -2.6182 -0.8621
Ir 0.0000 0.0000 0.0000
Ir 5.2220 -3.9722 -0.5299
Ir 2.6992 -2.0760 -2.7446
```

Computed properties:
Calculated formation energy in meV/atom: -642.4
Spin magnetization in μB per cell: 0.0
Symmetry: P-4m2, No. 115

=====

(9)
DFT (GGA-PBE) results for a relaxed Nd3Cd2In2 crystal.

Geometry as extended XYZ:
```
7
Lattice="4.7705 0.0000 0.6331 0.0000 3.5582 0.0000 0.9002 0.0000 11.5064" Properties=species:S:1:pos:R:3 pbc="T T T"
Nd 4.3146 0.0000 4.0681
Nd 0.0000 0.0000 0.0000
Nd 1.3561 0.0000 8.0714
Cd 3.9270 1.7791 6.9892
Cd 1.7437 1.7791 5.1503
In 3.5131 1.7791 10.1080
In 2.1576 1.7791 2.0315
```

Computed properties:
Calculated formation energy in meV/atom: -398.0
Spin magnetization in μB per cell: 0.0
Symmetry: Cmmm, No. 65

=====

(10)
DFT (GGA-PBE) results for a relaxed Pm8Tm2In crystal.

Geometry as extended XYZ:
```
11
Lattice="5.0251 0.0000 0.0000 0.0000 8.0392 0.4694 -2.5126 -2.9824 8.6114" Properties=species:S:1:pos:R:3 pbc="T T T"
Pm 0.0000 2.0351 7.3102
Pm 2.5126 6.2351 3.5194
Pm 2.5126 4.4264 6.6477
Pm 2.5126 -0.5208 7.9617
Pm 0.0000 0.6303 2.4332
Pm 0.0000 -1.1784 5.5615
Pm 2.5126 3.0216 1.7706
Pm 0.0000 5.5776 1.1192
Tm 2.5126 1.3071 4.9126
Tm 0.0000 3.7497 4.1682
In 2.5126 0.0000 0.0000
```

Computed properties:
Calculated formation energy in meV/atom: -67.9
Spin magnetization in μB per cell: 0.0
Symmetry: C2/m, No. 12

=====

(11)
DFT (GGA-PBE) results for a relaxed KTaIr crystal.

Geometry as extended XYZ:
```
3
Lattice="2.9330 0.0000 0.0000 -1.4665 2.5400 0.0000 0.0000 0.0000 8.2521" Properties=species:S:1:pos:R:3 pbc="T T T"
Ir 0.0000 0.0000 8.0128
K 0.0000 1.6933 2.6033
Ta 1.4665 0.8467 5.8883
```

Computed properties:
Calculated formation energy in meV/atom: 563.8
Energy relative to the lowest polymorph listed for this composition in eV/atom: 0.1973
Spin magnetization in μB per cell: 0.0
Symmetry: P3m1, No. 156

=====

(12)
DFT (GGA-PBE) results for a relaxed TlTe2 crystal.

Geometry as extended XYZ:
```
6
Lattice="6.6027 0.0000 0.0000 3.3013 5.7181 0.0000 3.3013 1.9060 5.3911" Properties=species:S:1:pos:R:3 pbc="T T T"
Tl 0.0000 0.0000 0.0000
Tl 3.3013 1.9060 1.3478
Te 4.9520 4.7651 3.3694
Te 6.6027 1.9060 3.3694
Te 8.2534 4.7651 3.3694
Te 6.6027 3.8121 0.6739
```

Computed properties:
Energy relative to the lowest polymorph listed for this composition in eV/atom: 0.1882
Spin magnetization in μB per cell: 0.0
Symmetry: Fd-3m, No. 227